5
Lattice="5.4022 0.0000 0.0000 0.0000 4.8618 0.0000 0.0000 0.0000 5.4022" Properties=species:S:1:pos:R:3 comment="Ca2TiAlRe, relaxed, DFT PBE" rho_g_cm3=3.99 space_group="P4/mmm, No. 123" formation_enthalpy_0k_ev_per_fu=5.44 pbc="T T T"
Ti 2.7011 2.4309 2.7011
Ca 2.7011 0.0000 0.0000
Ca 0.0000 0.0000 2.7011
Re 0.0000 0.0000 0.0000
Al 0.0000 2.4309 0.0000

---

10
Lattice="5.0800 0.0000 0.0000 2.5400 4.3994 0.0000 2.5400 1.4665 6.1688" Properties=species:S:1:pos:R:3 comment="AcZnC2O6, relaxed, DFT PBE" e_form_raw_ev_per_fu=-17.35 rho_g_cm3=4.97 space_group="R-3, No. 148" pbc="T T T"
O 6.7447 2.4348 1.4482
O 3.8162 1.7403 1.4482
O 3.4152 3.4311 4.7206
O 5.4809 1.2421 4.7206
O 4.6790 4.6237 1.4482
O 6.3438 4.1256 4.7206
C 7.6199 4.3994 4.7219
C 2.5400 1.4665 1.4469
Ac 0.0000 0.0000 0.0000
Zn 5.0800 2.9329 3.0844

---

10
Lattice="7.4888 -0.0019 0.0020 -0.0019 7.4888 0.0017 -3.7416 -3.7414 5.3187" Properties=species:S:1:pos:R:3 comment="La6In2FeCo, relaxed, DFT PBE" rho_g_cm3=6.55 space_group="Cm, No. 8" formation_enthalpy_0k_ev_per_fu=-2.51 pbc="T T T"
In 3.7454 0.0033 2.6605
In -0.0002 3.7490 2.6604
Co 3.7456 3.7496 5.2979
La -1.8612 1.8672 5.3104
La 1.8606 1.8654 5.3061
La -1.8582 -1.8552 5.3042
La 1.8642 -1.8563 5.3096
La -0.0006 0.0036 2.6533
La 3.7446 3.7480 2.6247
Fe 3.7468 3.7510 0.1136